Material: La2Pr12Mg
Method: DFT, PBE
State: optimized geometry

Structure (POSCAR):
```
La2Pr12Mg
1.0
6.7911 0.0000 0.0000
0.0000 6.7911 0.0000
0.0000 0.0000 24.6075
La Pr Mg
4 24 2
Direct
0.2500 0.7500 0.2462
0.2500 0.7500 0.7538
0.7500 0.2500 0.2462
0.7500 0.2500 0.7538
0.0099 0.5099 0.0973
0.0099 0.9901 0.9027
0.0836 0.5836 0.5641
0.0836 0.9164 0.4359
0.2500 0.2500 0.2025
0.2500 0.2500 0.3304
0.2500 0.2500 0.6696
0.2500 0.2500 0.7975
0.4164 0.5836 0.4359
0.4164 0.9164 0.5641
0.4901 0.5099 0.9027
0.4901 0.9901 0.0973
0.5099 0.0099 0.9027
0.5099 0.4901 0.0973
0.5836 0.0836 0.4359
0.5836 0.4164 0.5641
0.7500 0.7500 0.2025
0.7500 0.7500 0.3304
0.7500 0.7500 0.6696
0.7500 0.7500 0.7975
0.9164 0.0836 0.5641
0.9164 0.4164 0.4359
0.9901 0.0099 0.0973
0.9901 0.4901 0.9027
0.2500 0.7500 0.0000
0.7500 0.2500 0.0000
```

ΔE_f: 0.2556 eV/atom